No. 1
! YCdCoPb PBE optimized geometry; values from VASP
&SYSTEM
  ibrav = 0, nat = 16, ntyp = 4
/
ATOMIC_SPECIES
Y 88.91 Y.upf
Cd 112.41 Cd.upf
Co 58.93 Co.upf
Pb 207.20 Pb.upf
CELL_PARAMETERS angstrom
6.9545 0.0000 0.0000
0.0000 6.9545 0.0000
0.0000 0.0000 6.9545
ATOMIC_POSITIONS crystal
Y 0.0000 0.0000 0.0000
Y 0.0000 0.5000 0.5000
Y 0.5000 0.0000 0.5000
Y 0.5000 0.5000 0.0000
Cd 0.2500 0.2500 0.7500
Cd 0.2500 0.7500 0.2500
Cd 0.7500 0.2500 0.2500
Cd 0.7500 0.7500 0.7500
Co 0.0000 0.0000 0.5000
Co 0.0000 0.5000 0.0000
Co 0.5000 0.0000 0.0000
Co 0.5000 0.5000 0.5000
Pb 0.2500 0.2500 0.2500
Pb 0.2500 0.7500 0.7500
Pb 0.7500 0.2500 0.7500
Pb 0.7500 0.7500 0.2500
! M_tot (μB/atom): 0.102
! SG: F-43m
! Crystal system: cubic
! Uncorrected energy (eV per formula unit): -17.9

***

No. 2
! YCdCoPb PBE optimized geometry; values from VASP
&SYSTEM
  ibrav = 0, nat = 16, ntyp = 4
/
ATOMIC_SPECIES
Y 88.91 Y.upf
Cd 112.41 Cd.upf
Co 58.93 Co.upf
Pb 207.20 Pb.upf
CELL_PARAMETERS angstrom
6.9661 0.0000 0.0000
0.0000 6.9661 0.0000
0.0000 0.0000 6.9661
ATOMIC_POSITIONS crystal
Y 0.0000 0.0000 0.0000
Y 0.0000 0.5000 0.5000
Y 0.5000 0.0000 0.5000
Y 0.5000 0.5000 0.0000
Cd 0.2500 0.2500 0.2500
Cd 0.2500 0.7500 0.7500
Cd 0.7500 0.2500 0.7500
Cd 0.7500 0.7500 0.2500
Co 0.2500 0.2500 0.7500
Co 0.2500 0.7500 0.2500
Co 0.7500 0.2500 0.2500
Co 0.7500 0.7500 0.7500
Pb 0.0000 0.0000 0.5000
Pb 0.0000 0.5000 0.0000
Pb 0.5000 0.0000 0.0000
Pb 0.5000 0.5000 0.5000
! M_tot (μB/atom): 0.165
! SG: F-43m
! Crystal system: cubic
! Uncorrected energy (eV per formula unit): -17.8

***

> Which formula does entry 2 have?

YCdCoPb

***

Repeat the first record exactly.
! YCdCoPb PBE optimized geometry; values from VASP
&SYSTEM
  ibrav = 0, nat = 16, ntyp = 4
/
ATOMIC_SPECIES
Y 88.91 Y.upf
Cd 112.41 Cd.upf
Co 58.93 Co.upf
Pb 207.20 Pb.upf
CELL_PARAMETERS angstrom
6.9545 0.0000 0.0000
0.0000 6.9545 0.0000
0.0000 0.0000 6.9545
ATOMIC_POSITIONS crystal
Y 0.0000 0.0000 0.0000
Y 0.0000 0.5000 0.5000
Y 0.5000 0.0000 0.5000
Y 0.5000 0.5000 0.0000
Cd 0.2500 0.2500 0.7500
Cd 0.2500 0.7500 0.2500
Cd 0.7500 0.2500 0.2500
Cd 0.7500 0.7500 0.7500
Co 0.0000 0.0000 0.5000
Co 0.0000 0.5000 0.0000
Co 0.5000 0.0000 0.0000
Co 0.5000 0.5000 0.5000
Pb 0.2500 0.2500 0.2500
Pb 0.2500 0.7500 0.7500
Pb 0.7500 0.2500 0.7500
Pb 0.7500 0.7500 0.2500
! M_tot (μB/atom): 0.102
! SG: F-43m
! Crystal system: cubic
! Uncorrected energy (eV per formula unit): -17.9